1.
DFT (PBE-GGA) results for a geometry-optimized BaTlAsSe2 structure. Values from VASP.

Quantum ESPRESSO input file:
```
&SYSTEM
  ibrav = 0, nat = 5, ntyp = 4
/
ATOMIC_SPECIES
Ba 137.33 Ba.upf
Tl 204.38 Tl.upf
As 74.92 As.upf
Se 78.96 Se.upf
CELL_PARAMETERS angstrom
6.174 0.000 0.000
0.000 6.174 0.000
0.000 0.000 6.355
ATOMIC_POSITIONS crystal
Ba 0.000 0.000 0.000
Tl 0.500 0.500 0.500
As 0.000 0.000 0.500
Se 0.000 0.500 0.000
Se 0.500 0.000 0.000
```

* size of the total moment: 0.78 μB per atom
* relative energy among the computed polymorphs: 0.498 eV/atom
* ΔE_f (raw): 184 meV/atom
* space-group type: P4/mmm
* energy: -15.0 eV/cell

***

2.
DFT (PBE-GGA) results for a geometry-optimized Ba2UAsSe6 structure. Values from VASP.

Quantum ESPRESSO input file:
```
&SYSTEM
  ibrav = 0, nat = 20, ntyp = 4
/
ATOMIC_SPECIES
Ba 137.33 Ba.upf
U 238.03 U.upf
As 74.92 As.upf
Se 78.96 Se.upf
CELL_PARAMETERS angstrom
7.371 0.000 0.000
0.000 7.635 0.000
-7.322 0.000 10.607
ATOMIC_POSITIONS crystal
Ba 0.229 0.068 0.248
Ba 0.229 0.432 0.748
Ba 0.771 0.568 0.252
Ba 0.771 0.932 0.752
U 0.500 0.000 0.000
U 0.500 0.500 0.500
As 0.000 0.000 0.500
As 0.000 0.500 0.000
Se 0.160 0.205 0.961
Se 0.160 0.295 0.461
Se 0.258 0.700 0.960
Se 0.258 0.800 0.460
Se 0.325 0.006 0.748
Se 0.325 0.494 0.248
Se 0.675 0.506 0.752
Se 0.675 0.994 0.252
Se 0.742 0.200 0.540
Se 0.742 0.300 0.040
Se 0.840 0.705 0.539
Se 0.840 0.795 0.039
```

* size of the total moment: 0.10 μB per atom
* ΔE_f (raw): -1228 meV/atom
* space-group type: P2_1/c
* energy: -105.9 eV/cell

***

3.
DFT (PBE-GGA) results for a geometry-optimized Ba2UAs2Se2 structure. Values from VASP.

Quantum ESPRESSO input file:
```
&SYSTEM
  ibrav = 0, nat = 7, ntyp = 4
/
ATOMIC_SPECIES
Ba 137.33 Ba.upf
U 238.03 U.upf
As 74.92 As.upf
Se 78.96 Se.upf
CELL_PARAMETERS angstrom
-2.665 2.665 8.339
2.665 -2.665 8.339
2.665 2.665 -8.339
ATOMIC_POSITIONS crystal
Ba 0.140 0.140 0.000
Ba 0.860 0.860 0.000
U 0.500 0.500 0.000
As 0.000 0.500 0.500
As 0.500 0.000 0.500
Se 0.334 0.334 0.000
Se 0.666 0.666 0.000
```

* size of the total moment: 0.02 μB per atom
* ΔE_f (raw): -1270 meV/atom
* space-group type: I4/mmm
* energy: -40.3 eV/cell

***

4.
DFT (PBE-GGA) results for a geometry-optimized Ba2AsWSe structure. Values from VASP.

Quantum ESPRESSO input file:
```
&SYSTEM
  ibrav = 0, nat = 5, ntyp = 4
/
ATOMIC_SPECIES
Ba 137.33 Ba.upf
As 74.92 As.upf
W 183.84 W.upf
Se 78.96 Se.upf
CELL_PARAMETERS angstrom
6.038 0.000 0.000
0.000 6.038 0.000
0.000 0.000 4.733
ATOMIC_POSITIONS crystal
Ba 0.000 0.500 0.000
Ba 0.500 0.000 0.000
As 0.000 0.000 0.500
W 0.000 0.000 0.000
Se 0.500 0.500 0.500
```

* size of the total moment: 0.00 μB per atom
* ΔE_f (raw): -100 meV/atom
* space-group type: P4/mmm
* energy: -25.4 eV/cell

***

5.
DFT (PBE-GGA) results for a geometry-optimized BaAsWSe2 structure. Values from VASP.

Quantum ESPRESSO input file:
```
&SYSTEM
  ibrav = 0, nat = 5, ntyp = 4
/
ATOMIC_SPECIES
Ba 137.33 Ba.upf
As 74.92 As.upf
W 183.84 W.upf
Se 78.96 Se.upf
CELL_PARAMETERS angstrom
5.122 0.000 0.000
0.000 5.122 0.000
0.000 0.000 4.928
ATOMIC_POSITIONS crystal
Ba 0.000 0.000 0.000
As 0.500 0.500 0.000
W 0.500 0.500 0.500
Se 0.000 0.500 0.500
Se 0.500 0.000 0.500
```

* size of the total moment: 0.00 μB per atom
* relative energy among the computed polymorphs: 0.000 eV/atom
* ΔE_f (raw): -539 meV/atom
* space-group type: P4/mmm
* energy: -29.2 eV/cell

***

6.
DFT (PBE-GGA) results for a geometry-optimized BaAsWSe2 structure. Values from VASP.

Quantum ESPRESSO input file:
```
&SYSTEM
  ibrav = 0, nat = 5, ntyp = 4
/
ATOMIC_SPECIES
Ba 137.33 Ba.upf
As 74.92 As.upf
W 183.84 W.upf
Se 78.96 Se.upf
CELL_PARAMETERS angstrom
5.953 0.000 0.000
0.000 5.953 0.000
0.000 0.000 5.964
ATOMIC_POSITIONS crystal
Ba 0.000 0.000 0.000
As 0.000 0.000 0.500
W 0.500 0.500 0.500
Se 0.000 0.500 0.000
Se 0.500 0.000 0.000
```

* size of the total moment: 0.37 μB per atom
* relative energy among the computed polymorphs: 2.260 eV/atom
* ΔE_f (raw): 1721 meV/atom
* space-group type: P4/mmm
* energy: -17.9 eV/cell

***

7.
DFT (PBE-GGA) results for a geometry-optimized BaYAsSe2 structure. Values from VASP.

Quantum ESPRESSO input file:
```
&SYSTEM
  ibrav = 0, nat = 5, ntyp = 4
/
ATOMIC_SPECIES
Ba 137.33 Ba.upf
Y 88.91 Y.upf
As 74.92 As.upf
Se 78.96 Se.upf
CELL_PARAMETERS angstrom
5.759 0.000 0.000
0.000 5.759 0.000
0.000 0.000 5.601
ATOMIC_POSITIONS crystal
Ba 0.000 0.000 0.000
Y 0.500 0.500 0.500
As 0.000 0.000 0.500
Se 0.000 0.500 0.000
Se 0.500 0.000 0.000
```

* size of the total moment: 0.00 μB per atom
* relative energy among the computed polymorphs: 1.280 eV/atom
* ΔE_f (raw): 111 meV/atom
* space-group type: P4/mmm
* energy: -19.4 eV/cell

***

8.
DFT (PBE-GGA) results for a geometry-optimized BaYAsSe2 structure. Values from VASP.

Quantum ESPRESSO input file:
```
&SYSTEM
  ibrav = 0, nat = 5, ntyp = 4
/
ATOMIC_SPECIES
Ba 137.33 Ba.upf
Y 88.91 Y.upf
As 74.92 As.upf
Se 78.96 Se.upf
CELL_PARAMETERS angstrom
5.503 0.000 0.000
0.000 5.503 0.000
0.000 0.000 5.434
ATOMIC_POSITIONS crystal
Ba 0.000 0.000 0.000
Y 0.500 0.500 0.500
As 0.500 0.500 0.000
Se 0.000 0.500 0.500
Se 0.500 0.000 0.500
```

* size of the total moment: 0.00 μB per atom
* relative energy among the computed polymorphs: 0.000 eV/atom
* ΔE_f (raw): -1169 meV/atom
* space-group type: P4/mmm
* energy: -25.8 eV/cell

***

9.
DFT (PBE-GGA) results for a geometry-optimized BaZnAsSe2 structure. Values from VASP.

Quantum ESPRESSO input file:
```
&SYSTEM
  ibrav = 0, nat = 5, ntyp = 4
/
ATOMIC_SPECIES
Ba 137.33 Ba.upf
Zn 65.41 Zn.upf
As 74.92 As.upf
Se 78.96 Se.upf
CELL_PARAMETERS angstrom
6.348 0.000 0.000
0.000 6.348 0.000
0.000 0.000 6.791
ATOMIC_POSITIONS crystal
Ba 0.000 0.000 0.000
Zn 0.500 0.500 0.500
As 0.000 0.000 0.500
Se 0.000 0.500 0.000
Se 0.500 0.000 0.000
```

* size of the total moment: 1.02 μB per atom
* relative energy among the computed polymorphs: 1.139 eV/atom
* ΔE_f (raw): 577 meV/atom
* space-group type: P4/mmm
* energy: -11.9 eV/cell

***

10.
DFT (PBE-GGA) results for a geometry-optimized BaZnAsSe2 structure. Values from VASP.

Quantum ESPRESSO input file:
```
&SYSTEM
  ibrav = 0, nat = 5, ntyp = 4
/
ATOMIC_SPECIES
Ba 137.33 Ba.upf
Zn 65.41 Zn.upf
As 74.92 As.upf
Se 78.96 Se.upf
CELL_PARAMETERS angstrom
5.287 0.000 0.000
0.000 5.287 0.000
0.000 0.000 4.759
ATOMIC_POSITIONS crystal
Ba 0.000 0.000 0.000
Zn 0.500 0.500 0.500
As 0.500 0.500 0.000
Se 0.000 0.500 0.500
Se 0.500 0.000 0.500
```

* size of the total moment: 0.00 μB per atom
* relative energy among the computed polymorphs: 0.000 eV/atom
* ΔE_f (raw): -562 meV/atom
* space-group type: P4/mmm
* energy: -17.6 eV/cell

***

11.
DFT (PBE-GGA) results for a geometry-optimized BaZrAs2Se structure. Values from VASP.

Quantum ESPRESSO input file:
```
&SYSTEM
  ibrav = 0, nat = 5, ntyp = 4
/
ATOMIC_SPECIES
Ba 137.33 Ba.upf
Zr 91.22 Zr.upf
As 74.92 As.upf
Se 78.96 Se.upf
CELL_PARAMETERS angstrom
5.252 0.000 0.000
0.000 5.252 0.000
0.000 0.000 5.333
ATOMIC_POSITIONS crystal
Ba 0.000 0.000 0.000
Zr 0.500 0.500 0.500
As 0.000 0.500 0.500
As 0.500 0.000 0.500
Se 0.500 0.500 0.000
```

* size of the total moment: 0.00 μB per atom
* relative energy among the computed polymorphs: 0.000 eV/atom
* ΔE_f (raw): -905 meV/atom
* space-group type: P4/mmm
* energy: -27.8 eV/cell

***

12.
DFT (PBE-GGA) results for a geometry-optimized BaZrAsSe2 structure. Values from VASP.

Quantum ESPRESSO input file:
```
&SYSTEM
  ibrav = 0, nat = 5, ntyp = 4
/
ATOMIC_SPECIES
Ba 137.33 Ba.upf
Zr 91.22 Zr.upf
As 74.92 As.upf
Se 78.96 Se.upf
CELL_PARAMETERS angstrom
5.297 0.000 0.000
0.000 5.297 0.000
0.000 0.000 5.267
ATOMIC_POSITIONS crystal
Ba 0.000 0.000 0.000
Zr 0.500 0.500 0.500
As 0.500 0.500 0.000
Se 0.000 0.500 0.500
Se 0.500 0.000 0.500
```

* size of the total moment: 0.00 μB per atom
* relative energy among the computed polymorphs: 0.000 eV/atom
* ΔE_f (raw): -1213 meV/atom
* space-group type: P4/mmm
* energy: -28.2 eV/cell